The following is a PBE calculation of a relaxed Zr2TlAu crystal, from Alexandria.

```
data_Zr2TlAu
_symmetry_space_group_name_H-M 'R 3 m'
_symmetry_Int_Tables_number 160
_symmetry_space_group_name_Hall 'R 3 -2"'
_cell_length_a 4.2350
_cell_length_b 4.2350
_cell_length_c 19.4379
_cell_angle_alpha 90.00
_cell_angle_beta 90.00
_cell_angle_gamma 120.00
loop_
_atom_site_label
_atom_site_type_symbol
_atom_site_fract_x
_atom_site_fract_y
_atom_site_fract_z
_atom_site_occupancy
Zr1 Zr 0.0000 0.0000 0.0000 1
Zr2 Zr 0.0000 0.0000 0.1994 1
Tl1 Tl 0.0000 0.0000 0.4297 1
Au1 Au 0.0000 0.0000 0.5951 1
```

Computed properties:
The value obtained for the energy of formation from the pure elements is 0.034 eV/atom. As for the crystal system: trigonal. The value obtained for the final energy is -5.65 eV/atom. The calculation puts the density of states at the Fermi level at 1.23 states/eV/atom. The volume is 301.91 Å³/cell. The mass density is 9.633 g cm⁻³. The calculation puts the total magnetization at 0.00 μB/f.u.